A relaxed CeErGa6 crystal. Source: Alexandria, functional GGA-PBE.

Computed properties:
spin magnetization: 0.250 μB/f.u.
final energy: -32.91 eV per cell
crystal system: hexagonal
formation enthalpy at 0 K: -51.3 kJ/mol of atoms
volume: 157 Å³/cell
SG: No. 187

Cell: 4.593 6.290 6.290 Å, 119.98 90.00 90.00°
Sites, in units of the cell vectors:
1 Ce 0.500 0.417 0.583
2 Er 0.000 0.083 0.917
3 Ga 0.000 0.042 0.396
4 Ga 0.000 0.604 0.958
5 Ga 0.000 0.604 0.396
6 Ga 0.500 0.453 0.101
7 Ga 0.500 0.899 0.547
8 Ga 0.500 0.899 0.101